Entry 1:
{"formula": "La6SnPb5", "functional": "PBE-GGA", "state": "optimized geometry", "lattice": [[0.5079, -3.3126, 3.9571], [4.4145, -9.5307, -1.7512], [9.2378, -1.7993, 0.7050]], "species": ["La", "La", "La", "La", "La", "La", "Sn", "Pb", "Pb", "Pb", "Pb", "Pb"], "frac_coords": [[0.7529, 0.0817, 0.3308], [0.2471, 0.5875, 0.3308], [0.2559, 0.2441, 0.0000], [0.7441, 0.7559, 0.0000], [0.7529, 0.4125, 0.6692], [0.2471, 0.9183, 0.6692], [0.0000, 0.0000, 0.0000], [0.5000, 0.1692, 0.6617], [0.0000, 0.3351, 0.3298], [0.5000, 0.5000, 0.0000], [0.0000, 0.6649, 0.6702], [0.5000, 0.8308, 0.3383]], "formation_energy_kj_per_mol_atoms": -59.0, "spacegroup": "Immm, No. 71", "volume_a3_per_atom": 31.32, "mass_density_g_cm3": 8.78}

Entry 2:
{"formula": "La2SnPb5", "functional": "PBE-GGA", "state": "optimized geometry", "lattice": [[-1.6147, -3.1669, 3.5636], [4.6240, -4.7000, -2.0817], [9.2790, 5.2144, 8.8382]], "species": ["La", "La", "La", "La", "Sn", "Sn", "Pb", "Pb", "Pb", "Pb", "Pb", "Pb", "Pb", "Pb", "Pb", "Pb"], "frac_coords": [[0.5000, 0.2451, 0.3772], [0.5000, 0.7549, 0.6228], [0.5000, 0.2549, 0.8772], [0.5000, 0.7451, 0.1228], [0.0000, 0.0000, 0.5000], [0.0000, 0.5000, 0.0000], [0.5000, 0.2483, 0.1253], [0.5000, 0.7517, 0.8747], [0.5000, 0.7483, 0.3747], [0.5000, 0.2517, 0.6253], [0.0000, 0.0029, 0.7488], [0.0000, 0.9971, 0.2512], [0.0000, 0.5029, 0.7512], [0.0000, 0.4971, 0.2488], [0.0000, 0.5000, 0.5000], [0.0000, 0.0000, 0.0000]], "formation_energy_kj_per_mol_atoms": -45.0, "spacegroup": "Pbam, No. 55", "volume_a3_per_atom": 30.09, "mass_density_g_cm3": 9.88}

Entry 3:
{"formula": "La3SnPb", "functional": "PBE-GGA", "state": "optimized geometry", "lattice": [[-2.0572, 5.4659, -1.3234], [-5.6233, -2.0186, 0.4040], [-0.0774, 1.3815, 5.8262]], "species": ["Pb", "Sn", "La", "La", "La"], "frac_coords": [[0.5000, 0.5000, 0.5000], [0.0000, 0.0000, 0.0000], [0.0000, 0.5000, 0.0000], [0.0000, 0.0000, 0.5000], [0.5000, 0.0000, 0.0000]], "de_polymorph_mev_per_atom": 429, "formation_energy_kj_per_mol_atoms": -11.5, "spacegroup": "Pm-3m, No. 221", "volume_a3_per_atom": 42.95, "mass_density_g_cm3": 5.74}

Entry 4:
{"formula": "LaSn4Pb", "functional": "PBE-GGA", "state": "optimized geometry", "lattice": [[-1.6663, -2.9887, -5.2569], [-3.5813, -5.1399, 0.3152], [-5.9522, 0.1992, -1.9687]], "species": ["Pb", "Sn", "Sn", "Sn", "Sn", "La"], "frac_coords": [[0.2500, 0.2500, 0.2500], [0.6247, 0.6247, 0.1260], [0.6247, 0.1260, 0.6247], [0.6247, 0.6247, 0.6247], [0.1260, 0.6247, 0.6247], [0.0000, 0.0000, 0.0000]], "formation_energy_kj_per_mol_atoms": -23.6, "spacegroup": "F-43m, No. 216", "volume_a3_per_atom": 29.08, "mass_density_g_cm3": 7.81}

Entry 5:
{"formula": "La8SnPb5", "functional": "PBE-GGA", "state": "optimized geometry", "lattice": [[8.0939, 0.0000, -2.8194], [-4.0212, 7.0015, -2.8756], [-0.0514, 0.0000, 8.5707]], "species": ["La", "La", "La", "La", "La", "La", "La", "La", "Sn", "Pb", "Pb", "Pb", "Pb", "Pb"], "frac_coords": [[0.1254, 0.7483, 0.0127], [0.9873, 0.1126, 0.7356], [0.7671, 0.2513, 0.3774], [0.6226, 0.3897, 0.8740], [0.4843, 0.6103, 0.2329], [0.6229, 0.8874, 0.8746], [0.2644, 0.2517, 0.3771], [0.1260, 0.7487, 0.5157], [0.2500, 0.5000, 0.7500], [0.9990, 0.3746, 0.1241], [0.8759, 0.8749, 0.2505], [0.7495, 0.6254, 0.6244], [0.5000, 0.0000, 0.5000], [0.3756, 0.1251, 0.0010]], "formation_energy_kj_per_mol_atoms": -63.5, "spacegroup": "I-4, No. 82", "volume_a3_per_atom": 34.62, "mass_density_g_cm3": 7.76}

Entry 6:
{"formula": "LaSn3Pb", "functional": "PBE-GGA", "state": "optimized geometry", "lattice": [[5.9657, 0.0000, 0.0000], [0.0000, 5.9657, 0.0000], [0.0000, 0.0000, 5.9657]], "species": ["Pb", "Sn", "Sn", "Sn", "La"], "frac_coords": [[0.5000, 0.5000, 0.5000], [0.0000, 0.5000, 0.0000], [0.0000, 0.0000, 0.5000], [0.5000, 0.0000, 0.0000], [0.0000, 0.0000, 0.0000]], "de_polymorph_mev_per_atom": 628, "formation_energy_kj_per_mol_atoms": 55.8, "spacegroup": "Pm-3m, No. 221", "volume_a3_per_atom": 42.46, "mass_density_g_cm3": 5.49}

Entry 7:
{"formula": "LaSn3Pb", "functional": "PBE-GGA", "state": "optimized geometry", "lattice": [[-8.4914, 0.9395, 3.2561], [-5.7001, -3.0463, -0.9031], [2.4062, 0.7290, 6.0503]], "species": ["La", "Sn", "Sn", "Sn", "Pb"], "frac_coords": [[0.0000, 0.0000, 0.0000], [0.0000, 0.0000, 0.5000], [0.0000, 0.5000, 0.5000], [0.0000, 0.5000, 0.0000], [0.5000, 0.0000, 0.0000]], "de_polymorph_mev_per_atom": 0, "formation_energy_kj_per_mol_atoms": -4.8, "spacegroup": "P-1, No. 2", "volume_a3_per_atom": 38.32, "mass_density_g_cm3": 6.09}

Entry 8:
{"formula": "La3Sn2Pb", "functional": "PBE-GGA", "state": "optimized geometry", "lattice": [[0.4755, -4.0750, -1.3085], [-1.6978, -1.6484, 4.5166], [-8.2788, 2.0663, -2.3579]], "species": ["La", "La", "La", "Sn", "Sn", "Pb"], "frac_coords": [[0.3367, 0.0000, 0.6734], [0.6633, 0.0000, 0.3266], [0.5000, 0.5000, 0.0000], [0.1841, 0.5000, 0.3682], [0.8159, 0.5000, 0.6318], [0.0000, 0.0000, 0.0000]], "de_polymorph_mev_per_atom": 0, "formation_energy_kj_per_mol_atoms": -64.2, "spacegroup": "Cmmm, No. 65", "volume_a3_per_atom": 31.42, "mass_density_g_cm3": 7.59}

Entry 9:
{"formula": "LaSnPb3", "functional": "PBE-GGA", "state": "optimized geometry", "lattice": [[5.7443, 0.0000, 0.0000], [0.0000, 5.7443, 0.0000], [0.0000, 0.0000, 5.7443]], "species": ["Pb", "Pb", "Pb", "Sn", "La"], "frac_coords": [[0.0000, 0.5000, 0.0000], [0.0000, 0.0000, 0.5000], [0.5000, 0.0000, 0.0000], [0.0000, 0.0000, 0.0000], [0.5000, 0.5000, 0.5000]], "de_polymorph_mev_per_atom": 0, "formation_energy_kj_per_mol_atoms": 29.8, "spacegroup": "Pm-3m, No. 221", "volume_a3_per_atom": 37.91, "mass_density_g_cm3": 7.70}

Entry 10:
{"formula": "La6SnPb", "functional": "PBE-GGA", "state": "optimized geometry", "lattice": [[-4.3264, -0.4593, 2.5720], [0.9605, -4.9066, 0.7396], [4.8582, 2.2433, 8.5726]], "species": ["La", "La", "La", "La", "La", "La", "Sn", "Pb"], "frac_coords": [[0.5000, 0.5000, 0.0000], [0.5000, 0.5000, 0.5000], [0.5000, 0.0000, 0.2536], [0.5000, 0.0000, 0.7464], [0.0000, 0.5000, 0.2536], [0.0000, 0.5000, 0.7464], [0.0000, 0.0000, 0.5000], [0.0000, 0.0000, 0.0000]], "formation_energy_kj_per_mol_atoms": -42.6, "spacegroup": "P4/mmm, No. 123", "volume_a3_per_atom": 32.27, "mass_density_g_cm3": 7.46}

Entry 11:
{"formula": "La2SnPb", "functional": "PBE-GGA", "state": "optimized geometry", "lattice": [[0.0000, 3.9908, 3.9908], [3.9908, 0.0000, 3.9908], [3.9908, 3.9908, 0.0000]], "species": ["Pb", "Sn", "La", "La"], "frac_coords": [[0.5000, 0.5000, 0.5000], [0.0000, 0.0000, 0.0000], [0.2500, 0.2500, 0.2500], [0.7500, 0.7500, 0.7500]], "de_polymorph_mev_per_atom": 122, "formation_energy_kj_per_mol_atoms": -56.3, "spacegroup": "Fm-3m, No. 225", "volume_a3_per_atom": 31.78, "mass_density_g_cm3": 7.89}

Entry 12:
{"formula": "La5SnPb2", "functional": "PBE-GGA", "state": "optimized geometry", "lattice": [[-7.6464, -3.6424, 1.9061], [4.0945, -6.3884, 4.2177], [1.4755, 8.7920, 2.9499]], "species": ["La", "La", "La", "La", "La", "La", "La", "La", "La", "La", "Sn", "Sn", "Pb", "Pb", "Pb", "Pb"], "frac_coords": [[0.5124, 0.6786, 0.6910], [0.8214, 0.9876, 0.3090], [0.0000, 0.0000, 0.0000], [0.5000, 0.5000, 0.0000], [0.1786, 0.0124, 0.6910], [0.6786, 0.1786, 0.6910], [0.0124, 0.5124, 0.6910], [0.3214, 0.8214, 0.3090], [0.9876, 0.4876, 0.3090], [0.4876, 0.3214, 0.3090], [0.7500, 0.7500, 0.5000], [0.2500, 0.2500, 0.5000], [0.1338, 0.3661, 0.0000], [0.6338, 0.1339, 0.0000], [0.3661, 0.8662, 0.0000], [0.8662, 0.6338, 0.0000]], "de_polymorph_mev_per_atom": 0, "formation_energy_kj_per_mol_atoms": -56.1, "spacegroup": "I4/mcm, No. 140", "volume_a3_per_atom": 33.47, "mass_density_g_cm3": 7.61}